## NaOsO3 (GGA-PBE)

Data for NaOsO3 after structural relaxation.

SG ... No. 99
Calculated density ... 6.77 g cm⁻³
Uncorrected energy ... -29.76 eV per cell

Cell and atoms, written as POSCAR:
```
NaOsO3
1.0
3.2931 0.0000 0.0000
0.0000 3.2931 0.0000
0.0000 0.0000 5.9061
O Na Os
3 1 1
direct
0.0000 0.5000 0.4030
0.0000 0.0000 0.7540
0.5000 0.0000 0.4030
0.0000 0.0000 0.1277
0.5000 0.5000 0.5759
```


## NaOsO3 (GGA-PBE)

Data for NaOsO3 after structural relaxation.

SG ... No. 15
Calculated density ... 5.50 g cm⁻³
Uncorrected energy ... -134.08 eV per cell

Cell and atoms, written as POSCAR:
```
NaOsO3
1.0
11.0303 0.0000 -0.4180
4.6277 4.9429 -3.0709
-4.6277 4.9429 3.0709
Na O Os
4 12 4
direct
0.2500 0.3818 0.8818
0.7500 0.1811 0.6811
0.2500 0.8189 0.3189
0.7500 0.6182 0.1182
0.1154 0.2634 0.2463
0.0016 0.3145 0.5778
0.3542 0.4184 0.3965
0.5016 0.9222 0.1855
0.4984 0.0778 0.8145
0.6458 0.5816 0.6035
0.8542 0.1035 0.0816
0.6154 0.2537 0.2366
0.1458 0.8965 0.9184
0.9984 0.6855 0.4222
0.3846 0.7463 0.7634
0.8846 0.7366 0.7537
0.6323 0.8114 0.5136
0.8677 0.0136 0.3114
0.3677 0.1886 0.4864
0.1323 0.9864 0.6886
```


## NaOs3O12 (GGA-PBE)

Data for NaOs3O12 after structural relaxation.

SG ... No. 161
Calculated density ... 3.59 g cm⁻³
Uncorrected energy ... -223.25 eV per cell

Cell and atoms, written as POSCAR:
```
NaOs3O12
1.0
3.2321 -1.1596 8.7920
4.2824 -8.0527 2.4302
10.8091 0.5690 1.1679
O Os Na
24 6 2
direct
0.5323 0.1828 0.1204
0.6319 0.9827 0.3916
0.6310 0.4322 0.0999
0.7323 0.3237 0.4039
0.6645 0.6828 0.6204
0.4827 0.1319 0.8916
0.3370 0.9322 0.5999
0.6828 0.0323 0.6204
0.0400 0.8237 0.9039
0.9322 0.1310 0.5999
0.8370 0.6310 0.0999
0.4322 0.8370 0.0999
0.2323 0.0400 0.9039
0.1645 0.5323 0.1204
0.1828 0.1645 0.1204
0.9827 0.9937 0.3916
0.5400 0.7323 0.4039
0.9937 0.6319 0.3916
0.8237 0.2323 0.9039
0.3237 0.5400 0.4039
0.4937 0.4827 0.8916
0.1319 0.4937 0.8916
0.1310 0.3370 0.5999
0.0323 0.6645 0.6204
0.6199 0.3324 0.0039
0.5438 0.8324 0.5039
0.1199 0.5438 0.5039
0.3324 0.0438 0.0039
0.8324 0.1199 0.5039
0.0438 0.6199 0.0039
0.5822 0.5822 0.2533
0.0822 0.0822 0.7533
```


## Na2Os3O8 (GGA-PBE)

Data for Na2Os3O8 after structural relaxation.

SG ... No. 12
Calculated density ... 6.93 g cm⁻³
Uncorrected energy ... -90.17 eV per cell

Cell and atoms, written as POSCAR:
```
Na2Os3O8
1.0
0.0888 -0.7317 5.2606
-1.8632 -6.0788 1.2985
4.3761 -4.5821 1.4014
Os O Na
3 8 2
direct
0.0000 0.2627 0.7373
0.5000 0.0000 0.0000
0.0000 0.7373 0.2627
0.3799 0.1169 0.6926
0.9898 0.3938 0.3938
0.0102 0.6062 0.6062
0.9073 0.9102 0.9102
0.3799 0.6926 0.1169
0.6201 0.3074 0.8831
0.0927 0.0898 0.0898
0.6201 0.8831 0.3074
0.3342 0.7179 0.7179
0.6658 0.2821 0.2821
```


Total magnetization (computed, μB/f.u.): 0.5, 0.0, 1.1, 0.5